# NiSb4Au2 (PBE-GGA, optimized geometry)
data_NiSb4Au2
_chemical_formula_sum 'Ni2 Sb8 Au4'
_cell_length_a 5.085
_cell_length_b 5.085
_cell_length_c 13.668
_cell_angle_alpha 90.00
_cell_angle_beta 90.00
_cell_angle_gamma 90.00
_symmetry_space_group_name_H-M 'I 4/m m m'
_symmetry_Int_Tables_number 139
_symmetry_space_group_name_Hall '-I 4 2'
loop_
_atom_site_label
_atom_site_type_symbol
_atom_site_fract_x
_atom_site_fract_y
_atom_site_fract_z
Ni1 Ni 0.000 0.000 0.000
Sb1 Sb 0.000 0.000 0.192
Sb2 Sb 0.000 0.500 0.000
Au1 Au 0.000 0.000 0.388
# magnetization = 0.000 μB/f.u.
# total DFT energy (no corrections) = -3.86 eV per atom
# calculated volume = 25.25 A^3/atom

***

# K2Cu2Br7 (PBE-GGA, optimized geometry)
data_K2Cu2Br7
_chemical_formula_sum 'K4 Cu4 Br14'
_cell_length_a 5.787
_cell_length_b 16.784
_cell_length_c 7.984
_cell_angle_alpha 90.00
_cell_angle_beta 90.26
_cell_angle_gamma 90.00
_symmetry_space_group_name_H-M 'P 1 21/c 1'
_symmetry_Int_Tables_number 14
_symmetry_space_group_name_Hall '-P 2ybc'
loop_
_atom_site_label
_atom_site_type_symbol
_atom_site_fract_x
_atom_site_fract_y
_atom_site_fract_z
K1 K 0.053 0.137 0.213
Cu1 Cu 0.211 0.609 0.843
Br1 Br 0.000 0.000 0.500
Br2 Br 0.084 0.168 0.812
Br3 Br 0.341 0.543 0.584
Br4 Br 0.436 0.659 0.060
# magnetization = 0.913 μB/f.u.
# total DFT energy (no corrections) = -2.75 eV per atom
# calculated volume = 35.25 A^3/atom

***

# ReHgBr2 (PBE-GGA, optimized geometry)
data_ReHgBr2
_chemical_formula_sum 'Re2 Hg2 Br4'
_cell_length_a 3.199
_cell_length_b 4.750
_cell_length_c 14.650
_cell_angle_alpha 90.00
_cell_angle_beta 90.00
_cell_angle_gamma 90.00
_symmetry_space_group_name_H-M 'A m m 2'
_symmetry_Int_Tables_number 38
_symmetry_space_group_name_Hall 'A 2 -2'
loop_
_atom_site_label
_atom_site_type_symbol
_atom_site_fract_x
_atom_site_fract_y
_atom_site_fract_z
Re1 Re 0.000 0.000 0.000
Hg1 Hg 0.500 0.000 0.521
Br1 Br 0.000 0.000 0.166
Br2 Br 0.500 0.000 0.865
# magnetization = 1.213 μB/f.u.
# calculated volume = 27.83 A^3/atom
# energy above the most stable polymorph in this dataset = 0.000 eV/atom

***

# TaSI3 (PBE-GGA, optimized geometry)
data_TaSI3
_chemical_formula_sum 'Ta1 S1 I3'
_cell_length_a 5.454
_cell_length_b 5.454
_cell_length_c 5.454
_cell_angle_alpha 90.00
_cell_angle_beta 90.00
_cell_angle_gamma 90.00
_symmetry_space_group_name_H-M 'P m -3 m'
_symmetry_Int_Tables_number 221
_symmetry_space_group_name_Hall '-P 4 2 3'
loop_
_atom_site_label
_atom_site_type_symbol
_atom_site_fract_x
_atom_site_fract_y
_atom_site_fract_z
Ta1 Ta 0.000 0.000 0.000
S1 S 0.500 0.500 0.500
I1 I 0.000 0.000 0.500
# magnetization = 0.000 μB/f.u.
# calculated volume = 32.45 A^3/atom
# energy above the most stable polymorph in this dataset = 1.047 eV/atom

***

# ZrZn2Ru (PBE-GGA, optimized geometry)
data_ZrZn2Ru
_chemical_formula_sum 'Zr4 Zn8 Ru4'
_cell_length_a 6.378
_cell_length_b 6.378
_cell_length_c 6.378
_cell_angle_alpha 90.00
_cell_angle_beta 90.00
_cell_angle_gamma 90.00
_symmetry_space_group_name_H-M 'F -4 3 m'
_symmetry_Int_Tables_number 216
_symmetry_space_group_name_Hall 'F -4 2 3'
loop_
_atom_site_label
_atom_site_type_symbol
_atom_site_fract_x
_atom_site_fract_y
_atom_site_fract_z
Zr1 Zr 0.000 0.000 0.000
Zn1 Zn 0.000 0.000 0.500
Zn2 Zn 0.250 0.250 0.250
Ru1 Ru 0.250 0.250 0.750
# magnetization = 0.000 μB/f.u.
# calculated volume = 16.22 A^3/atom
# energy of formation from the pure elements = -175 meV/atom

***

# RbTl2SeN (PBE-GGA, optimized geometry)
data_RbTl2SeN
_chemical_formula_sum 'Rb1 Tl2 Se1 N1'
_cell_length_a 6.413
_cell_length_b 6.413
_cell_length_c 4.345
_cell_angle_alpha 90.00
_cell_angle_beta 90.00
_cell_angle_gamma 90.00
_symmetry_space_group_name_H-M 'P 4/m m m'
_symmetry_Int_Tables_number 123
_symmetry_space_group_name_Hall '-P 4 2'
loop_
_atom_site_label
_atom_site_type_symbol
_atom_site_fract_x
_atom_site_fract_y
_atom_site_fract_z
Rb1 Rb 0.000 0.000 0.000
Tl1 Tl 0.000 0.500 0.000
Se1 Se 0.500 0.500 0.500
N1 N 0.000 0.000 0.500
# magnetization = 0.795 μB/f.u.
# total DFT energy (no corrections) = -2.32 eV per atom
# calculated volume = 35.74 A^3/atom

***

# SiSb2P (PBE-GGA, optimized geometry)
data_SiSb2P
_chemical_formula_sum 'Si2 Sb4 P2'
_cell_length_a 6.921
_cell_length_b 3.913
_cell_length_c 6.918
_cell_angle_alpha 90.00
_cell_angle_beta 108.07
_cell_angle_gamma 90.00
_symmetry_space_group_name_H-M 'C 1 2/m 1'
_symmetry_Int_Tables_number 12
_symmetry_space_group_name_Hall '-C 2y'
loop_
_atom_site_label
_atom_site_type_symbol
_atom_site_fract_x
_atom_site_fract_y
_atom_site_fract_z
Si1 Si 0.000 0.000 0.000
Sb1 Sb 0.249 0.500 0.247
P1 P 0.000 0.500 0.500
# magnetization = 0.000 μB/f.u.
# calculated volume = 22.26 A^3/atom
# energy above the most stable polymorph in this dataset = 0.164 eV/atom

***

# Y2OsAu (PBE-GGA, optimized geometry)
data_Y2OsAu
_chemical_formula_sum 'Y2 Os1 Au1'
_cell_length_a 4.935
_cell_length_b 4.935
_cell_length_c 3.531
_cell_angle_alpha 90.00
_cell_angle_beta 90.00
_cell_angle_gamma 90.00
_symmetry_space_group_name_H-M 'P 4/m m m'
_symmetry_Int_Tables_number 123
_symmetry_space_group_name_Hall '-P 4 2'
loop_
_atom_site_label
_atom_site_type_symbol
_atom_site_fract_x
_atom_site_fract_y
_atom_site_fract_z
Y1 Y 0.000 0.500 0.000
Os1 Os 0.000 0.000 0.500
Au1 Au 0.500 0.500 0.500
# magnetization = 0.000 μB/f.u.
# calculated volume = 21.49 A^3/atom
# energy of formation from the pure elements = -451 meV/atom

***

# ReNi2HW (PBE-GGA, optimized geometry)
data_ReNi2HW
_chemical_formula_sum 'Re1 Ni2 H1 W1'
_cell_length_a 3.727
_cell_length_b 3.727
_cell_length_c 3.952
_cell_angle_alpha 90.00
_cell_angle_beta 90.00
_cell_angle_gamma 90.00
_symmetry_space_group_name_H-M 'P 4/m m m'
_symmetry_Int_Tables_number 123
_symmetry_space_group_name_Hall '-P 4 2'
loop_
_atom_site_label
_atom_site_type_symbol
_atom_site_fract_x
_atom_site_fract_y
_atom_site_fract_z
Re1 Re 0.000 0.000 0.000
Ni1 Ni 0.000 0.500 0.500
H1 H 0.000 0.000 0.500
W1 W 0.500 0.500 0.000
# magnetization = 0.000 μB/f.u.
# calculated volume = 10.98 A^3/atom
# energy above the most stable polymorph in this dataset = 0.000 eV/atom

***

# Pr3NdAg2 (PBE-GGA, optimized geometry)
data_Pr3NdAg2
_chemical_formula_sum 'Pr3 Nd1 Ag2'
_cell_length_a 3.755
_cell_length_b 3.755
_cell_length_c 12.810
_cell_angle_alpha 90.00
_cell_angle_beta 90.00
_cell_angle_gamma 90.00
_symmetry_space_group_name_H-M 'P 4/m m m'
_symmetry_Int_Tables_number 123
_symmetry_space_group_name_Hall '-P 4 2'
loop_
_atom_site_label
_atom_site_type_symbol
_atom_site_fract_x
_atom_site_fract_y
_atom_site_fract_z
Pr1 Pr 0.000 0.000 0.000
Pr2 Pr 0.000 0.000 0.299
Nd1 Nd 0.500 0.500 0.500
Ag1 Ag 0.500 0.500 0.151
# magnetization = 0.284 μB/f.u.
# calculated volume = 30.10 A^3/atom
# energy of formation from the pure elements = -150 meV/atom

***

# Nd7Ni2Rh2 (PBE-GGA, optimized geometry)
data_Nd7Ni2Rh2
_chemical_formula_sum 'Nd14 Ni4 Rh4'
_cell_length_a 8.469
_cell_length_b 10.764
_cell_length_c 7.065
_cell_angle_alpha 90.00
_cell_angle_beta 90.00
_cell_angle_gamma 90.00
_symmetry_space_group_name_H-M 'C m m m'
_symmetry_Int_Tables_number 65
_symmetry_space_group_name_Hall '-C 2 2'
loop_
_atom_site_label
_atom_site_type_symbol
_atom_site_fract_x
_atom_site_fract_y
_atom_site_fract_z
Nd1 Nd 0.000 0.000 0.000
Nd2 Nd 0.000 0.500 0.257
Nd3 Nd 0.250 0.250 0.264
Ni1 Ni 0.237 0.000 0.500
Rh1 Rh 0.000 0.276 0.000
# magnetization = 0.000 μB/f.u.
# calculated volume = 29.27 A^3/atom
# energy of formation from the pure elements = -174 meV/atom

***

# Nd2PtSe (PBE-GGA, optimized geometry)
data_Nd2PtSe
_chemical_formula_sum 'Nd6 Pt3 Se3'
_cell_length_a 4.1617
_cell_length_b 4.1617
_cell_length_c 22.1995
_cell_angle_alpha 90.00
_cell_angle_beta 90.00
_cell_angle_gamma 120.00
_symmetry_space_group_name_H-M 'R 3 m'
_symmetry_Int_Tables_number 160
_symmetry_space_group_name_Hall 'R 3 -2"'
loop_
_atom_site_label
_atom_site_type_symbol
_atom_site_fract_x
_atom_site_fract_y
_atom_site_fract_z
Nd1 Nd 0.0000 0.0000 0.0000
Nd2 Nd 0.0000 0.0000 0.1835
Pt1 Pt 0.0000 0.0000 0.5918
Se1 Se 0.0000 0.0000 0.4242
# magnetization = 0.000 μB/f.u.
# calculated volume = 27.75 A^3/atom
# energy above the most stable polymorph in this dataset = 0.072 eV/atom

***

# CoHg2Se (PBE-GGA, optimized geometry)
data_CoHg2Se
_chemical_formula_sum 'Co3 Hg6 Se3'
_cell_length_a 3.9612
_cell_length_b 3.9612
_cell_length_c 19.0950
_cell_angle_alpha 90.00
_cell_angle_beta 90.00
_cell_angle_gamma 120.00
_symmetry_space_group_name_H-M 'R -3 m'
_symmetry_Int_Tables_number 166
_symmetry_space_group_name_Hall '-R 3 2"'
loop_
_atom_site_label
_atom_site_type_symbol
_atom_site_fract_x
_atom_site_fract_y
_atom_site_fract_z
Co1 Co 0.0000 0.0000 0.0000
Hg1 Hg 0.0000 0.0000 0.2588
Se1 Se 0.0000 0.0000 0.5000
# magnetization = 1.856 μB/f.u.
# total DFT energy (no corrections) = -2.36 eV per atom
# calculated volume = 21.62 A^3/atom

***

# PmAlAu (PBE-GGA, optimized geometry)
data_PmAlAu
_chemical_formula_sum 'Pm1 Al1 Au1'
_cell_length_a 4.5721
_cell_length_b 4.5721
_cell_length_c 3.7949
_cell_angle_alpha 90.00
_cell_angle_beta 90.00
_cell_angle_gamma 120.00
_symmetry_space_group_name_H-M 'P -6 m 2'
_symmetry_Int_Tables_number 187
_symmetry_space_group_name_Hall 'P -6 2'
loop_
_atom_site_label
_atom_site_type_symbol
_atom_site_fract_x
_atom_site_fract_y
_atom_site_fract_z
Pm1 Pm 0.0000 0.0000 0.0000
Al1 Al 0.3333 0.6667 0.5000
Au1 Au 0.6667 0.3333 0.5000
# magnetization = 0.000 μB/f.u.
# calculated volume = 22.90 A^3/atom
# energy above the most stable polymorph in this dataset = 0.040 eV/atom
# energy of formation from the pure elements = -718 meV/atom

***

# Pm2Ho6Tm (PBE-GGA, optimized geometry)
data_Pm2Ho6Tm
_chemical_formula_sum 'Pm8 Ho24 Tm4'
_cell_length_a 12.753
_cell_length_b 14.235
_cell_length_c 6.540
_cell_angle_alpha 90.00
_cell_angle_beta 104.25
_cell_angle_gamma 90.00
_symmetry_space_group_name_H-M 'C 1 2/c 1'
_symmetry_Int_Tables_number 15
_symmetry_space_group_name_Hall '-C 2yc'
loop_
_atom_site_label
_atom_site_type_symbol
_atom_site_fract_x
_atom_site_fract_y
_atom_site_fract_z
Pm1 Pm 0.144 0.025 0.373
Ho1 Ho 0.036 0.188 0.005
Ho2 Ho 0.132 0.409 0.814
Ho3 Ho 0.240 0.201 0.729
Tm1 Tm 0.000 0.383 0.250
# magnetization = 0.000 μB/f.u.
# calculated volume = 31.97 A^3/atom
# energy above the most stable polymorph in this dataset = 0.093 eV/atom
# energy of formation from the pure elements = 113 meV/atom

***

# YThOs (PBE-GGA, optimized geometry)
data_YThOs
_chemical_formula_sum 'Y2 Th2 Os2'
_cell_length_a 3.419
_cell_length_b 3.419
_cell_length_c 13.558
_cell_angle_alpha 90.00
_cell_angle_beta 90.00
_cell_angle_gamma 90.00
_symmetry_space_group_name_H-M 'I 4 m m'
_symmetry_Int_Tables_number 107
_symmetry_space_group_name_Hall 'I 4 -2'
loop_
_atom_site_label
_atom_site_type_symbol
_atom_site_fract_x
_atom_site_fract_y
_atom_site_fract_z
Y1 Y 0.000 0.000 0.000
Th1 Th 0.000 0.000 0.258
Os1 Os 0.000 0.000 0.630
# magnetization = 0.001 μB/f.u.
# calculated volume = 26.42 A^3/atom
# energy above the most stable polymorph in this dataset = 0.075 eV/atom
# energy of formation from the pure elements = -131 meV/atom